No. 1
Computed, not measured: a relaxed structure of MgNiP4O12 at the GGA-PBEsol level of DFT.

Values from the calculation:
**Raw formation energy**: -2.12 eV per atom
**Raw total energy**: -7.3398 eV/atom
**Calculated density**: 3.2 g cm⁻³

Cell: 7.1443 7.1443 9.6742 Å, 98.80 109.81 109.51°
Closest atoms and distances in Å follow each position.
Sites, in units of the cell vectors:
1 Ni 0.5000 0.5000 0.5000  6 O 1.99-2.07
2 Ni 0.5000 0.0000 0.0000  6 O 1.99-2.07
3 O 0.3785 0.1933 0.0835  1 P 1.52
4 O 0.7928 0.7152 0.6766  1 P 1.52
5 O 0.0271 0.5313 0.3474  2 P 1.60-1.61
6 O 0.0079 0.8536 0.0969  1 P 1.47
7 O 0.7433 0.0890 0.5969  1 P 1.47
8 O 0.4614 0.8838 0.1766  1 P 1.52
9 O 0.5402 0.6602 0.3532  1 P 1.48
10 O 0.6215 0.8067 0.9165  1 P 1.52
11 O 0.0701 0.7941 0.5684  2 P 1.60-1.61
12 O 0.7257 0.5016 0.9316  2 P 1.60-1.61
13 O 0.9921 0.1464 0.9031  1 P 1.47
14 O 0.2072 0.2848 0.3234  1 P 1.52
15 O 0.9729 0.4687 0.6526  2 P 1.60-1.61
16 O 0.5386 0.1162 0.8234  1 P 1.52
17 O 0.6839 0.6798 0.1526  2 P 1.60-1.61
18 O 0.2567 0.9110 0.4031  1 P 1.47
19 O 0.4598 0.3398 0.6468  1 P 1.48
20 O 0.9299 0.2059 0.4316  2 P 1.60-1.61
21 O 0.8070 0.1870 0.1468  1 P 1.48
22 O 0.2743 0.4984 0.0684  2 P 1.60-1.61
23 O 0.6099 0.2950 0.4165  1 P 1.52
24 O 0.1930 0.8130 0.8532  1 P 1.48
25 O 0.3901 0.7050 0.5835  1 P 1.52
26 O 0.3161 0.3202 0.8474  2 P 1.60-1.61
27 P 0.2302 0.2704 0.9767  4 O 1.47-1.61
28 P 0.5087 0.3118 0.8015  4 O 1.48-1.61
29 P 0.4913 0.6882 0.1985  4 O 1.48-1.61
30 P 0.2062 0.7465 0.4767  4 O 1.47-1.61
31 P 0.0103 0.7072 0.6985  4 O 1.48-1.61
32 P 0.7698 0.7296 0.0233  4 O 1.47-1.61
33 P 0.7938 0.2535 0.5233  4 O 1.47-1.61
34 P 0.9897 0.2928 0.3015  4 O 1.48-1.61
35 Mg 0.3061 0.0561 0.2500  6 O 1.99-2.13
36 Mg 0.6939 0.9439 0.7500  6 O 1.99-2.13

=====

No. 2
Computed, not measured: a relaxed structure of SrMgNiP2O8 at the GGA-PBEsol level of DFT.

Values from the calculation:
**Raw formation energy**: -2.36 eV per atom
**Raw total energy**: -7.2319 eV/atom
**Calculated density**: 4.0 g cm⁻³

Cell: 5.4616 6.7016 9.1392 Å, 110.49 100.92 98.18°
Closest atoms and distances in Å follow each position.
Sites, in units of the cell vectors:
1 O 0.0444 0.8838 0.3124  1 P 1.57
2 O 0.9556 0.1162 0.6876  1 P 1.57
3 O 0.6474 0.4793 0.1982  1 P 1.54
4 O 0.6560 0.8053 0.7612  1 P 1.54
5 O 0.6175 0.9546 0.3690  1 P 1.57
6 O 0.1591 0.4519 0.1262  1 P 1.56
7 O 0.7445 0.0004 0.1284  1 P 1.52
8 O 0.3440 0.1947 0.2388  1 P 1.54
9 O 0.3825 0.0454 0.6310  1 P 1.57
10 O 0.9953 0.2674 0.4189  1 P 1.57
11 O 0.2555 0.9996 0.8716  1 P 1.52
12 O 0.0047 0.7326 0.5811  1 P 1.57
13 O 0.3851 0.5961 0.4081  1 P 1.56
14 O 0.8409 0.5481 0.8738  1 P 1.56
15 O 0.3526 0.5207 0.8018  1 P 1.54
16 O 0.6149 0.4039 0.5919  1 P 1.56
17 P 0.6075 0.5723 0.7587  4 O 1.54-1.56
18 P 0.1563 0.9714 0.6970  4 O 1.52-1.57
19 P 0.3925 0.4277 0.2413  4 O 1.54-1.56
20 P 0.8437 0.0286 0.3030  4 O 1.52-1.57
21 Ni 0.6443 0.8565 0.5598  5 O 1.96-2.09
22 Ni 0.3557 0.1435 0.4402  5 O 1.96-2.09
23 Sr 0.2587 0.8003 0.0586  7 O 2.50-2.71
24 Sr 0.7413 0.1997 0.9414  7 O 2.50-2.71
25 Mg 0.0049 0.5932 0.3446  4 O 2.01-2.06
26 Mg 0.9951 0.4068 0.6554  4 O 2.01-2.06

=====

No. 3
Computed, not measured: a relaxed structure of MgSi2NiO6 at the GGA-PBEsol level of DFT.

Values from the calculation:
**Raw formation energy**: -2.35 eV per atom
**Raw total energy**: -7.4332 eV/atom
**Calculated density**: 3.8 g cm⁻³

Cell: 5.1653 8.7886 18.1855 Å, 90.00 90.00 90.00°
Closest atoms and distances in Å follow each position.
Sites, in units of the cell vectors:
1 O 0.7971 0.8382 0.9378  1 Si 1.64
2 O 0.6686 0.2220 0.8035  2 Si 1.65-1.67
3 O 0.8207 0.9862 0.5676  1 Si 1.60
4 O 0.9011 0.1920 0.9463  2 Si 1.68
5 O 0.8207 0.4862 0.9324  1 Si 1.60
6 O 0.0431 0.0072 0.1893  1 Si 1.61
7 O 0.2029 0.6618 0.4378  1 Si 1.64
8 O 0.2971 0.6618 0.9378  1 Si 1.64
9 O 0.1793 0.5138 0.0676  1 Si 1.60
10 O 0.6793 0.4862 0.4324  1 Si 1.60
11 O 0.5296 0.6591 0.3175  1 Si 1.63
12 O 0.9704 0.6591 0.8175  1 Si 1.63
13 O 0.4569 0.0072 0.6893  1 Si 1.61
14 O 0.5989 0.6920 0.0537  2 Si 1.68
15 O 0.5431 0.9928 0.3107  1 Si 1.61
16 O 0.4011 0.8080 0.5537  2 Si 1.68
17 O 0.2971 0.1618 0.5622  1 Si 1.64
18 O 0.4704 0.3409 0.6825  1 Si 1.63
19 O 0.3207 0.5138 0.5676  1 Si 1.60
20 O 0.6793 0.9862 0.0676  1 Si 1.60
21 O 0.4011 0.3080 0.9463  2 Si 1.68
22 O 0.5989 0.1920 0.4463  2 Si 1.68
23 O 0.0296 0.8409 0.3175  1 Si 1.63
24 O 0.4704 0.8409 0.8175  1 Si 1.63
25 O 0.9569 0.9928 0.8107  1 Si 1.61
26 O 0.0431 0.5072 0.3107  1 Si 1.61
27 O 0.8314 0.7220 0.1965  2 Si 1.65-1.67
28 O 0.3314 0.2780 0.3035  2 Si 1.65-1.67
29 O 0.6686 0.7220 0.6965  2 Si 1.65-1.67
30 O 0.3314 0.7780 0.1965  2 Si 1.65-1.67
31 O 0.7971 0.3382 0.5622  1 Si 1.64
32 O 0.0989 0.8080 0.0537  2 Si 1.68
33 O 0.9011 0.6920 0.5537  2 Si 1.68
34 O 0.4569 0.5072 0.8107  1 Si 1.61
35 O 0.1686 0.7780 0.6965  2 Si 1.65-1.67
36 O 0.0989 0.3080 0.4463  2 Si 1.68
37 O 0.7029 0.3382 0.0622  1 Si 1.64
38 O 0.5296 0.1591 0.1825  1 Si 1.63
39 O 0.9704 0.1591 0.6825  1 Si 1.63
40 O 0.5431 0.4928 0.1893  1 Si 1.61
41 O 0.8314 0.2220 0.3035  2 Si 1.65-1.67
42 O 0.1686 0.2780 0.8035  2 Si 1.65-1.67
43 O 0.7029 0.8382 0.4378  1 Si 1.64
44 O 0.0296 0.3409 0.1825  1 Si 1.63
45 O 0.2029 0.1618 0.0622  1 Si 1.64
46 O 0.3207 0.0138 0.9324  1 Si 1.60
47 O 0.1793 0.0138 0.4324  1 Si 1.60
48 O 0.9569 0.4928 0.6893  1 Si 1.61
49 Si 0.4504 0.3429 0.7720  4 O 1.61-1.67
50 Si 0.2098 0.1629 0.9720  4 O 1.60-1.68
51 Si 0.9504 0.6571 0.7280  4 O 1.61-1.67
52 Si 0.0496 0.3429 0.2720  4 O 1.61-1.67
53 Si 0.7098 0.8371 0.5280  4 O 1.60-1.68
54 Si 0.2098 0.6629 0.5280  4 O 1.60-1.68
55 Si 0.2902 0.6629 0.0280  4 O 1.60-1.68
56 Si 0.4504 0.8429 0.7280  4 O 1.61-1.67
57 Si 0.9504 0.1571 0.7720  4 O 1.61-1.67
58 Si 0.7902 0.8371 0.0280  4 O 1.60-1.68
59 Si 0.5496 0.6571 0.2280  4 O 1.61-1.67
60 Si 0.2902 0.1629 0.4720  4 O 1.60-1.68
61 Si 0.5496 0.1571 0.2720  4 O 1.61-1.67
62 Si 0.7098 0.3371 0.9720  4 O 1.60-1.68
63 Si 0.0496 0.8429 0.2280  4 O 1.61-1.67
64 Si 0.7902 0.3371 0.4720  4 O 1.60-1.68
65 Mg 0.3629 0.8454 0.3772  6 O 2.00-2.14
66 Mg 0.1371 0.3454 0.6228  6 O 2.00-2.14
67 Mg 0.6371 0.6546 0.8772  6 O 2.00-2.14
68 Mg 0.8629 0.1546 0.1228  6 O 2.00-2.14
69 Mg 0.1371 0.8454 0.8772  6 O 2.00-2.14
70 Mg 0.3629 0.3454 0.1228  6 O 2.00-2.14
71 Mg 0.6371 0.1546 0.6228  6 O 2.00-2.14
72 Mg 0.8629 0.6546 0.3772  6 O 2.00-2.14
73 Ni 0.8507 0.5092 0.1234  4 O 1.98-2.05
74 Ni 0.1493 0.9908 0.6234  4 O 1.98-2.05
75 Ni 0.6493 0.5092 0.6234  4 O 1.98-2.05
76 Ni 0.3507 0.4908 0.3766  4 O 1.98-2.05
77 Ni 0.1493 0.4908 0.8766  4 O 1.98-2.05
78 Ni 0.8507 0.0092 0.3766  4 O 1.98-2.05
79 Ni 0.6493 0.0092 0.8766  4 O 1.98-2.05
80 Ni 0.3507 0.9908 0.1234  4 O 1.98-2.05

=====

No. 4
Computed, not measured: a relaxed structure of MgSi2NiO6 at the GGA-PBEsol level of DFT.

Values from the calculation:
**Raw formation energy**: -2.35 eV per atom
**Raw total energy**: -7.4365 eV/atom
**Calculated density**: 3.9 g cm⁻³

Cell: 4.9657 6.4085 6.4085 Å, 86.08 81.43 81.43°
Closest atoms and distances in Å follow each position.
Sites, in units of the cell vectors:
1 O 0.1346 0.6155 0.1421  1 Si 1.60
2 O 0.8654 0.3845 0.8579  1 Si 1.60
3 O 0.1379 0.9691 0.7878  1 Si 1.63
4 O 0.0898 0.2952 0.4165  2 Si 1.68-1.69
5 O 0.6346 0.1421 0.6155  1 Si 1.60
6 O 0.3654 0.8579 0.3845  1 Si 1.60
7 O 0.8621 0.0309 0.2122  1 Si 1.63
8 O 0.5898 0.4165 0.2952  2 Si 1.68-1.69
9 O 0.4102 0.5835 0.7048  2 Si 1.68-1.69
10 O 0.3621 0.2122 0.0309  1 Si 1.63
11 O 0.9102 0.7048 0.5835  2 Si 1.68-1.69
12 O 0.6379 0.7878 0.9691  1 Si 1.63
13 Si 0.2062 0.7912 0.6093  4 O 1.60-1.69
14 Si 0.7938 0.2088 0.3907  4 O 1.60-1.69
15 Si 0.7062 0.6093 0.7912  4 O 1.60-1.69
16 Si 0.2938 0.3907 0.2088  4 O 1.60-1.69
17 Mg 0.2500 0.2684 0.7316  4 O 2.01-2.07
18 Mg 0.7500 0.7316 0.2684  4 O 2.01-2.07
19 Ni 0.7500 0.0931 0.9069  6 O 2.02-2.11
20 Ni 0.2500 0.9069 0.0931  6 O 2.02-2.11

=====

No. 5
Computed, not measured: a relaxed structure of SrMg30NiO32 at the GGA-PBEsol level of DFT.

Values from the calculation:
**Raw formation energy**: -2.64 eV per atom
**Raw total energy**: -6.1958 eV/atom
**Calculated density**: 3.7 g cm⁻³

Cell: 8.5116 8.5116 8.5137 Å, 90.00 90.00 90.00°
Closest atoms and distances in Å follow each position.
Sites, in units of the cell vectors:
1 Ni 0.0000 0.0000 0.0000  6 O 2.10-2.14
2 Mg 0.2493 0.2493 0.5000  6 O 2.12-2.13
3 Mg 0.7550 0.5000 0.7453  6 O 2.09-2.17
4 Mg 0.0000 0.2485 0.7505  6 O 2.11-2.14
5 Mg 0.0000 0.5000 0.5000  6 O 2.10-2.14
6 Mg 0.2441 0.7559 0.0000  6 O 2.08-2.18
7 Mg 0.2450 0.5000 0.7453  6 O 2.09-2.17
8 Mg 0.5000 0.5000 0.5000  6 O 1.96-2.16
9 Mg 0.5000 0.0000 0.5000  6 O 2.10-2.14
10 Mg 0.5000 0.2450 0.7453  6 O 2.09-2.17
11 Mg 0.2485 0.0000 0.2495  6 O 2.11-2.14
12 Mg 0.0000 0.2485 0.2495  6 O 2.11-2.14
13 Mg 0.0000 0.0000 0.5000  6 O 2.12
14 Mg 0.7515 0.0000 0.7505  6 O 2.11-2.14
15 Mg 0.2485 0.0000 0.7505  6 O 2.11-2.14
16 Mg 0.2441 0.2441 0.0000  6 O 2.08-2.18
17 Mg 0.5000 0.0000 0.0000  6 O 1.96-2.16
18 Mg 0.2450 0.5000 0.2547  6 O 2.09-2.17
19 Mg 0.5000 0.7550 0.2547  6 O 2.09-2.17
20 Mg 0.2493 0.7507 0.5000  6 O 2.12-2.13
21 Mg 0.5000 0.7550 0.7453  6 O 2.09-2.17
22 Mg 0.0000 0.7515 0.7505  6 O 2.11-2.14
23 Mg 0.7559 0.2441 0.0000  6 O 2.08-2.18
24 Mg 0.7507 0.7507 0.5000  6 O 2.12-2.13
25 Mg 0.0000 0.7515 0.2495  6 O 2.11-2.14
26 Mg 0.0000 0.5000 0.0000  6 O 1.96-2.16
27 Mg 0.7507 0.2493 0.5000  6 O 2.12-2.13
28 Mg 0.7515 0.0000 0.2495  6 O 2.11-2.14
29 Mg 0.7550 0.5000 0.2547  6 O 2.09-2.17
30 Mg 0.7559 0.7559 0.0000  6 O 2.08-2.18
31 Mg 0.5000 0.2450 0.2547  6 O 2.09-2.17
32 O 0.7531 0.0000 0.0000  5 Mg 2.08-2.15, 1 Ni 2.10
33 O 0.7501 0.2499 0.2495  6 Mg 2.13
34 O 0.2499 0.2499 0.2495  6 Mg 2.13
35 O 0.0000 0.2469 0.0000  5 Mg 2.08-2.15, 1 Ni 2.10
36 O 0.7501 0.7501 0.2495  6 Mg 2.13
37 O 0.5000 0.7702 0.0000  5 Mg 1.96-2.18
38 O 0.0000 0.7531 0.0000  5 Mg 2.08-2.15, 1 Ni 2.10
39 O 0.0000 0.0000 0.2516  5 Mg 2.11-2.12, 1 Ni 2.14
40 O 0.7702 0.5000 0.0000  5 Mg 1.96-2.18
41 O 0.5000 0.0000 0.7468  6 Mg 2.09-2.16
42 O 0.0000 0.5000 0.7468  6 Mg 2.09-2.16
43 O 0.7501 0.2499 0.7505  6 Mg 2.13
44 O 0.0000 0.0000 0.7484  5 Mg 2.11-2.12, 1 Ni 2.14
45 O 0.7514 0.0000 0.5000  6 Mg 2.12-2.14
46 O 0.2499 0.7501 0.2495  6 Mg 2.13
47 O 0.7536 0.5000 0.5000  6 Mg 2.09-2.16
48 O 0.2499 0.7501 0.7505  6 Mg 2.13
49 O 0.5000 0.2298 0.0000  5 Mg 1.96-2.18
50 O 0.0000 0.2486 0.5000  6 Mg 2.12-2.14
51 O 0.5000 0.5000 0.7300  5 Mg 1.96-2.17
52 O 0.2298 0.5000 0.0000  5 Mg 1.96-2.18
53 O 0.2499 0.2499 0.7505  6 Mg 2.13
54 O 0.5000 0.2464 0.5000  6 Mg 2.09-2.16
55 O 0.0000 0.7514 0.5000  6 Mg 2.12-2.14
56 O 0.5000 0.7536 0.5000  6 Mg 2.09-2.16
57 O 0.2464 0.5000 0.5000  6 Mg 2.09-2.16
58 O 0.2469 0.0000 0.0000  5 Mg 2.08-2.15, 1 Ni 2.10
59 O 0.7501 0.7501 0.7505  6 Mg 2.13
60 O 0.2486 0.0000 0.5000  6 Mg 2.12-2.14
61 O 0.5000 0.5000 0.2700  5 Mg 1.96-2.17
62 O 0.5000 0.0000 0.2532  6 Mg 2.09-2.16
63 O 0.0000 0.5000 0.2532  6 Mg 2.09-2.16
64 Sr 0.5000 0.5000 0.0000  6 O 2.30

=====

No. 6
Computed, not measured: a relaxed structure of MgTi2NiO6 at the GGA-PBEsol level of DFT.

Values from the calculation:
**Raw formation energy**: -2.53 eV per atom
**Raw total energy**: -8.1294 eV/atom
**Calculated density**: 4.6 g cm⁻³

Cell: 5.0206 5.0206 5.4218 Å, 62.42 62.42 60.00°
Closest atoms and distances in Å follow each position.
Sites, in units of the cell vectors:
1 O 0.4382 0.7723 0.7446  1 Ti 1.87, 1 Mg 2.03, 1 Ni 2.06
2 O 0.5602 0.2368 0.2608  2 Ti 1.87-2.09, 1 Ni 2.03
3 O 0.7723 0.0449 0.7446  1 Ti 1.87, 1 Mg 2.03, 1 Ni 2.06
4 O 0.0449 0.4382 0.7446  1 Ti 1.87, 1 Mg 2.03, 1 Ni 2.06
5 O 0.2368 0.9422 0.2608  2 Ti 1.87-2.09, 1 Ni 2.03
6 O 0.9422 0.5602 0.2608  2 Ti 1.87-2.09, 1 Ni 2.03
7 Ti 0.1444 0.1444 0.5667  6 O 1.87-2.09
8 Ti 0.8566 0.8566 0.4302  3 O 1.87
9 Mg 0.3536 0.3536 0.9392  6 O 2.03-2.14
10 Ni 0.6512 0.6512 0.0464  6 O 2.03-2.06